Record 1
Here is a geometry-optimized PuTiInHg structure from Alexandria. Energies are from GGA-PBE.

Structure (POSCAR):
```
PuTiInHg
1.0
-2.4586 -4.4393 -0.4688
1.5980 -3.4521 -3.3913
2.1989 -4.3116 1.5959
Ti In Hg Pu
1 1 1 1
Cartesian
0.3346 -3.0508 -0.5661 Ti
0.0000 0.0000 0.0000 In
0.6692 -6.1015 -1.1321 Hg
1.0038 -9.1523 -1.6982 Pu
```

Summary:
- Total DFT energy (no corrections): -6.30 eV per atom
- Total magnetization: 7.25 μB/f.u.
- Crystal system: cubic

***

Record 2
Here is a geometry-optimized SrCa2TlRh structure from Alexandria. Energies are from GGA-PBE.

Structure (POSCAR):
```
SrCa2TlRh
1.0
5.4399 0.0000 0.0000
0.0000 5.4399 0.0000
0.0000 0.0000 5.4869
Sr Ca Tl Rh
1 2 1 1
Cartesian
2.7200 2.7200 2.7435 Sr
2.7200 0.0000 0.0000 Ca
0.0000 2.7200 0.0000 Ca
0.0000 0.0000 2.7435 Tl
0.0000 0.0000 0.0000 Rh
```

Summary:
- Energy relative to the lowest polymorph listed for this composition: 0.0 meV per atom
- Total DFT energy (no corrections): -3.33 eV per atom
- Total magnetization: 0.40 μB/f.u.
- Crystal system: tetragonal

***

Record 3
Here is a geometry-optimized ThMn2 structure from Alexandria. Energies are from GGA-PBE.

Structure (POSCAR):
```
ThMn2
1.0
3.2129 0.0000 0.0000
0.0000 3.2129 0.0000
-1.6065 -1.6065 5.1788
Mn Th
2 1
Cartesian
1.6065 1.6065 2.3772 Mn
0.0000 0.0000 2.8016 Mn
0.0000 0.0000 0.0000 Th
```

Summary:
- Total DFT energy (no corrections): -8.16 eV per atom
- Total magnetization: 0.00 μB/f.u.
- Crystal system: tetragonal

***

Record 4
Here is a geometry-optimized SnW3Au structure from Alexandria. Energies are from GGA-PBE.

Structure (POSCAR):
```
SnW3Au
1.0
-2.1630 4.0966 1.5233
0.1271 -1.6399 4.5908
4.3688 2.0759 0.6206
Sn W Au
1 3 1
Cartesian
1.1665 2.2663 3.3673 Sn
0.0636 -0.8200 2.2954 W
-1.0815 2.0483 0.7616 W
2.1844 1.0380 0.3103 W
0.0000 0.0000 0.0000 Au
```

Summary:
- Energy relative to the lowest polymorph listed for this composition: 0.0 meV per atom
- Total DFT energy (no corrections): -6.74 eV per atom
- Total magnetization: 0.00 μB/f.u.
- Crystal system: cubic

***

Record 5
Here is a geometry-optimized CdIn4Cu structure from Alexandria. Energies are from GGA-PBE.

Structure (POSCAR):
```
CdIn4Cu
1.0
3.8039 -4.7762 -0.1604
-2.2363 -5.6779 -0.2582
0.5723 -3.2777 -5.1221
In Cu Cd
4 1 1
Cartesian
1.0886 -6.7881 -4.6434 In
0.8018 -5.1452 -2.0761 In
-0.3191 -7.9911 -2.2055 In
2.7084 -7.5391 -2.1565 In
0.0000 0.0000 0.0000 Cu
1.6049 -10.2988 -4.1556 Cd
```

Summary:
- Energy relative to the lowest polymorph listed for this composition: 368.5 meV per atom
- Total DFT energy (no corrections): -2.27 eV per atom
- Total magnetization: 0.00 μB/f.u.
- Crystal system: cubic

***

Record 6
Here is a geometry-optimized Pr2TeAs structure from Alexandria. Energies are from GGA-PBE.

Structure (POSCAR):
```
Pr2TeAs
1.0
4.3715 0.0000 0.0000
0.0000 6.2542 0.0000
0.0000 0.0000 8.9861
Pr Te As
4 2 2
Cartesian
2.1858 3.1271 5.4616 Pr
0.0000 0.0000 3.5245 Pr
2.1858 3.1271 1.4049 Pr
0.0000 0.0000 7.5812 Pr
0.0000 3.1271 7.9179 Te
2.1858 0.0000 1.0682 Te
2.1858 0.0000 5.5832 As
0.0000 3.1271 3.4028 As
```

Summary:
- Energy relative to the lowest polymorph listed for this composition: 15.3 meV per atom
- E_form (uncorrected): -1.53 eV/atom
- Total DFT energy (no corrections): -5.87 eV per atom
- Total magnetization: 0.00 μB/f.u.
- Crystal system: orthorhombic

***

Record 7
Here is a geometry-optimized Pm3Pr6Tl structure from Alexandria. Energies are from GGA-PBE.

Structure (POSCAR):
```
Pm3Pr6Tl
1.0
8.9261 -0.7978 -0.8157
-0.9913 8.9067 -0.8157
-0.9913 -1.0131 8.8864
Tl Pm Pr
2 6 12
Cartesian
0.0000 0.0000 0.0000 Tl
3.4717 3.5479 3.6275 Tl
6.8961 1.2213 7.0640 Pm
0.0473 5.8745 0.1909 Pm
6.8839 7.0472 1.3777 Pm
1.0714 6.9088 7.0760 Pm
5.8721 0.1870 0.1790 Pm
0.0595 0.0486 5.8773 Pm
2.5548 0.0771 2.8441 Pr
0.9341 5.9910 3.6873 Pr
3.5324 1.0110 6.0713 Pr
4.3886 7.0187 4.4109 Pr
0.9741 3.4329 6.1095 Pr
4.1579 4.4799 7.1148 Pr
3.4110 6.0848 1.1836 Pr
6.0093 1.1048 3.5676 Pr
0.0216 2.7867 2.6183 Pr
6.9218 4.3091 4.6366 Pr
5.9693 3.6628 1.1454 Pr
2.7856 2.6158 0.1402 Pr
```

Summary:
- Energy relative to the lowest polymorph listed for this composition: 0.0 meV per atom
- Total DFT energy (no corrections): -4.53 eV per atom
- Total magnetization: 0.00 μB/f.u.
- Crystal system: trigonal

***

Record 8
Here is a geometry-optimized RbTcP3 structure from Alexandria. Energies are from GGA-PBE.

Structure (POSCAR):
```
RbTcP3
1.0
-0.1638 4.4962 1.5999
-3.5815 -1.1739 2.9321
3.1541 -1.0994 3.4126
P Tc Rb
3 1 1
Cartesian
-0.0819 2.2481 0.8000 P
-1.7908 -0.5869 1.4661 P
1.5771 -0.5497 1.7063 P
0.0000 0.0000 0.0000 Tc
-0.2956 1.1115 3.9723 Rb
```

Summary:
- Energy relative to the lowest polymorph listed for this composition: 0.0 meV per atom
- Total DFT energy (no corrections): -5.27 eV per atom
- Total magnetization: 0.00 μB/f.u.
- Crystal system: cubic